No. 1
KHoHf: relaxed, GGA-PBE.

Properties
- Uncorrected energy: -3.396 eV/atom

POSCAR file:
```
KHoHf
1.0
7.499 0.000 0.000
0.000 7.499 0.000
0.000 0.000 7.499
K Ho Hf
4 4 4
Direct
0.000 0.000 0.000
0.000 0.500 0.500
0.500 0.000 0.500
0.500 0.500 0.000
0.250 0.250 0.250
0.250 0.750 0.750
0.750 0.250 0.750
0.750 0.750 0.250
0.250 0.250 0.750
0.250 0.750 0.250
0.750 0.250 0.250
0.750 0.750 0.750
```

***

No. 2
KHoHfTe3: relaxed, GGA-PBE.

Properties
- Uncorrected energy: -5.132 eV/atom
- Energy above the most stable polymorph in this dataset: 3.2 kJ per mole of atoms

POSCAR file:
```
KHoHfTe3
1.0
2.185 -8.141 0.000
2.185 8.141 0.000
0.000 0.000 11.487
K Ho Hf Te
2 2 2 6
Direct
0.250 0.750 0.750
0.750 0.250 0.250
0.000 0.000 0.000
0.000 0.000 0.500
0.465 0.535 0.250
0.535 0.465 0.750
0.076 0.924 0.250
0.368 0.632 0.051
0.368 0.632 0.449
0.632 0.368 0.551
0.632 0.368 0.949
0.924 0.076 0.750
```

***

No. 3
KHoHfTe3: relaxed, GGA-PBE.

Properties
- Uncorrected energy: -5.165 eV/atom
- Energy above the most stable polymorph in this dataset: 0.0 kJ per mole of atoms

POSCAR file:
```
KHoHfTe3
1.0
9.513 0.000 0.000
0.000 4.474 0.000
-3.562 0.000 9.962
K Ho Hf Te
2 2 2 6
Direct
0.206 0.250 0.237
0.794 0.750 0.763
0.335 0.750 0.862
0.665 0.250 0.138
0.090 0.250 0.601
0.910 0.750 0.399
0.109 0.250 0.871
0.233 0.750 0.533
0.461 0.750 0.169
0.539 0.250 0.831
0.767 0.250 0.467
0.891 0.750 0.129
```

***

No. 4
HoHf2N3: relaxed, GGA-PBE.

Properties
- Uncorrected energy: -10.032 eV/atom

POSCAR file:
```
HoHf2N3
1.0
3.255 0.000 0.000
-1.628 2.819 0.000
0.000 0.000 8.046
Ho Hf N
1 2 3
Direct
0.000 0.000 0.000
0.333 0.667 0.338
0.667 0.333 0.662
0.000 0.000 0.500
0.333 0.667 0.814
0.667 0.333 0.186
```

***

No. 5
NaHoHf: relaxed, GGA-PBE.

Properties
- Uncorrected energy: -3.935 eV/atom
- Energy above the most stable polymorph in this dataset: 0.0 kJ per mole of atoms

POSCAR file:
```
NaHoHf
1.0
7.357 0.000 0.000
0.000 7.357 0.000
0.000 0.000 7.357
Na Ho Hf
4 4 4
Direct
0.000 0.000 0.000
0.000 0.500 0.500
0.500 0.000 0.500
0.500 0.500 0.000
0.000 0.000 0.500
0.000 0.500 0.000
0.500 0.000 0.000
0.500 0.500 0.500
0.250 0.250 0.750
0.250 0.750 0.250
0.750 0.250 0.250
0.750 0.750 0.750
```

***

No. 6
HoHfNb: relaxed, GGA-PBE.

Properties
- Uncorrected energy: -7.414 eV/atom
- Energy above the most stable polymorph in this dataset: 0.0 kJ per mole of atoms
- DFT formation energy: 0.79 eV per atom

POSCAR file:
```
HoHfNb
1.0
6.778 0.000 0.000
0.000 6.778 0.000
0.000 0.000 6.778
Ho Hf Nb
4 4 4
Direct
0.000 0.000 0.000
0.000 0.500 0.500
0.500 0.000 0.500
0.500 0.500 0.000
0.000 0.000 0.500
0.000 0.500 0.000
0.500 0.000 0.000
0.500 0.500 0.500
0.250 0.250 0.750
0.250 0.750 0.250
0.750 0.250 0.250
0.750 0.750 0.750
```

***

No. 7
HoHfNp: relaxed, GGA-PBE.

Properties
- Uncorrected energy: -7.983 eV/atom
- Energy above the most stable polymorph in this dataset: 0.0 kJ per mole of atoms
- DFT formation energy: 1.12 eV per atom

POSCAR file:
```
HoHfNp
1.0
6.979 0.000 0.000
0.000 6.979 0.000
0.000 0.000 6.979
Ho Hf Np
4 4 4
Direct
0.000 0.000 0.000
0.000 0.500 0.500
0.500 0.000 0.500
0.500 0.500 0.000
0.250 0.250 0.250
0.250 0.750 0.750
0.750 0.250 0.750
0.750 0.750 0.250
0.000 0.000 0.500
0.000 0.500 0.000
0.500 0.000 0.000
0.500 0.500 0.500
```

***

No. 8
HoHf2O3: relaxed, GGA-PBE.

Properties
- Uncorrected energy: -8.846 eV/atom

POSCAR file:
```
HoHf2O3
1.0
3.273 0.000 0.000
-1.637 2.835 0.000
0.000 0.000 7.908
Ho Hf O
1 2 3
Direct
0.000 0.000 0.000
0.333 0.667 0.343
0.667 0.333 0.657
0.000 0.000 0.500
0.333 0.667 0.813
0.667 0.333 0.187
```

***

No. 9
Ho2Hf2O5: relaxed, GGA-PBE.

Properties
- Uncorrected energy: -8.698 eV/atom
- Energy above the most stable polymorph in this dataset: 1.6 kJ per mole of atoms

POSCAR file:
```
Ho2Hf2O5
1.0
4.064 0.000 0.000
0.000 4.064 0.000
0.000 0.000 7.342
Ho Hf O
2 2 5
Direct
0.000 0.000 0.000
0.000 0.000 0.500
0.500 0.500 0.218
0.500 0.500 0.782
0.000 0.500 0.261
0.000 0.500 0.739
0.500 0.000 0.261
0.500 0.000 0.739
0.500 0.500 0.500
```

***

No. 10
Ho2HfO3: relaxed, GGA-PBE.

Properties
- Uncorrected energy: -8.196 eV/atom

POSCAR file:
```
Ho2HfO3
1.0
3.323 0.000 0.000
-1.661 2.878 0.000
0.000 0.000 8.061
Ho Hf O
2 1 3
Direct
0.333 0.667 0.325
0.667 0.333 0.675
0.000 0.000 0.000
0.000 0.000 0.500
0.333 0.667 0.853
0.667 0.333 0.147
```

***

No. 11
Ho2Hf2O5: relaxed, GGA-PBE.

Properties
- Uncorrected energy: -8.715 eV/atom
- Energy above the most stable polymorph in this dataset: 0.0 kJ per mole of atoms

POSCAR file:
```
Ho2Hf2O5
1.0
3.578 0.000 0.000
0.000 3.578 0.000
0.000 0.000 9.923
Ho Hf O
2 2 5
Direct
0.000 0.000 0.248
0.000 0.000 0.752
0.500 0.500 0.000
0.500 0.500 0.500
0.000 0.000 0.500
0.000 0.500 0.126
0.000 0.500 0.874
0.500 0.000 0.126
0.500 0.000 0.874
```

***

No. 12
HoHfPO: relaxed, GGA-PBE.

Properties
- Uncorrected energy: -8.022 eV/atom
- Energy above the most stable polymorph in this dataset: 18.9 kJ per mole of atoms

POSCAR file:
```
HoHfPO
1.0
3.890 0.000 0.000
0.000 7.279 0.000
0.000 0.000 5.644
Ho Hf P O
2 2 2 2
Direct
0.000 0.212 0.000
0.000 0.788 0.500
0.500 0.390 0.537
0.500 0.610 0.037
0.000 0.164 0.498
0.000 0.836 0.998
0.500 0.341 0.911
0.500 0.659 0.411
```

***

No. 13
HoHfPO: relaxed, GGA-PBE.

Properties
- Uncorrected energy: -8.218 eV/atom
- Energy above the most stable polymorph in this dataset: 0.0 kJ per mole of atoms

POSCAR file:
```
HoHfPO
1.0
4.112 0.000 0.000
0.000 4.112 0.000
0.000 0.000 8.423
Ho Hf P O
2 2 2 2
Direct
0.250 0.250 0.116
0.750 0.750 0.884
0.250 0.750 0.500
0.750 0.250 0.500
0.250 0.250 0.686
0.750 0.750 0.314
0.250 0.750 0.000
0.750 0.250 0.000
```

***

No. 14
HoHfPO: relaxed, GGA-PBE.

Properties
- Uncorrected energy: -8.056 eV/atom
- Energy above the most stable polymorph in this dataset: 15.6 kJ per mole of atoms

POSCAR file:
```
HoHfPO
1.0
5.055 0.000 0.000
0.000 4.028 0.000
0.000 0.000 7.217
Ho Hf P O
2 2 2 2
Direct
0.250 0.000 0.143
0.750 0.000 0.857
0.250 0.500 0.740
0.750 0.500 0.260
0.250 0.500 0.383
0.750 0.500 0.617
0.250 0.000 0.824
0.750 0.000 0.176
```

***

No. 15
HoHfPO: relaxed, GGA-PBE.

Properties
- Uncorrected energy: -7.719 eV/atom
- Energy above the most stable polymorph in this dataset: 48.1 kJ per mole of atoms

POSCAR file:
```
HoHfPO
1.0
4.028 0.000 0.000
0.000 4.028 0.000
0.000 0.000 8.089
Ho Hf P O
2 2 2 2
Direct
0.250 0.750 0.000
0.750 0.250 0.000
0.250 0.250 0.382
0.750 0.750 0.618
0.250 0.250 0.767
0.750 0.750 0.233
0.250 0.750 0.500
0.750 0.250 0.500
```

***

No. 16
HoHfPO: relaxed, GGA-PBE.

Properties
- Uncorrected energy: -7.720 eV/atom
- Energy above the most stable polymorph in this dataset: 48.0 kJ per mole of atoms

POSCAR file:
```
HoHfPO
1.0
4.081 0.000 0.000
0.000 4.081 0.000
0.000 0.000 7.927
Ho Hf P O
2 2 2 2
Direct
0.250 0.750 0.000
0.750 0.250 0.000
0.250 0.250 0.388
0.750 0.750 0.612
0.250 0.250 0.766
0.750 0.750 0.234
0.250 0.750 0.500
0.750 0.250 0.500
```

***

No. 17
Ho3Hf3Sb2Os: relaxed, GGA-PBE.

Properties
- Uncorrected energy: -7.352 eV/atom
- Energy above the most stable polymorph in this dataset: 26.9 kJ per mole of atoms

POSCAR file:
```
Ho3Hf3Sb2Os
1.0
8.007 0.000 0.000
-4.004 6.935 0.000
0.000 0.000 3.810
Ho Hf Sb Os
3 3 2 1
Direct
0.000 0.251 0.000
0.251 0.000 0.000
0.749 0.749 0.000
0.000 0.609 0.500
0.391 0.391 0.500
0.609 0.000 0.500
0.333 0.667 0.000
0.667 0.333 0.000
0.000 0.000 0.500
```

***

No. 18
Ho3Hf3Sb2Os: relaxed, GGA-PBE.

Properties
- Uncorrected energy: -7.631 eV/atom
- Energy above the most stable polymorph in this dataset: 0.0 kJ per mole of atoms

POSCAR file:
```
Ho3Hf3Sb2Os
1.0
7.880 0.000 0.000
-3.940 6.824 0.000
0.000 0.000 4.044
Ho Hf Sb Os
3 3 2 1
Direct
0.000 0.601 0.000
0.399 0.399 0.000
0.601 0.000 0.000
0.000 0.231 0.500
0.231 0.000 0.500
0.769 0.769 0.500
0.333 0.667 0.500
0.667 0.333 0.500
0.000 0.000 0.000
```

***

No. 19
Ho2HfP3: relaxed, GGA-PBE.

Properties
- Uncorrected energy: -7.397 eV/atom

POSCAR file:
```
Ho2HfP3
1.0
3.868 0.000 0.000
-1.934 3.350 0.000
0.000 0.000 9.542
Ho Hf P
2 1 3
Direct
0.333 0.667 0.328
0.667 0.333 0.672
0.000 0.000 0.000
0.000 0.000 0.500
0.333 0.667 0.847
0.667 0.333 0.153
```

***

No. 20
HoHfPb: relaxed, GGA-PBE.

Properties
- Uncorrected energy: -5.843 eV/atom
- Energy above the most stable polymorph in this dataset: 0.0 kJ per mole of atoms

POSCAR file:
```
HoHfPb
1.0
7.002 0.000 0.000
0.000 7.002 0.000
0.000 0.000 7.002
Ho Hf Pb
4 4 4
Direct
0.000 0.000 0.000
0.000 0.500 0.500
0.500 0.000 0.500
0.500 0.500 0.000
0.000 0.000 0.500
0.000 0.500 0.000
0.500 0.000 0.000
0.500 0.500 0.500
0.250 0.250 0.750
0.250 0.750 0.250
0.750 0.250 0.250
0.750 0.750 0.750
```